Material: Na2Co5Mo4Cl4O16
Method: DFT, GGA-PBEsol
State: relaxed

Cell lengths 6.8228, 6.8228, 10.3588 Å; angles 74.65, 74.65, 78.17 degrees
Closest atoms and distances in Å follow each position.
Atoms (fractional coordinates):
O1 0.2884 0.9545 0.3503  1 Mo 1.75
O2 0.9044 0.9044 0.8762  1 Mo 1.78, 1 Co 1.89
O3 0.7116 0.0455 0.6497  1 Mo 1.75
O4 0.4710 0.4710 0.1681  1 Mo 1.73
O5 0.1847 0.5226 0.4171  1 Mo 1.79
O6 0.8153 0.4774 0.5829  1 Mo 1.79
O7 0.5226 0.1847 0.4171  1 Mo 1.79
O8 0.9545 0.2884 0.3503  1 Mo 1.75
O9 0.6108 0.6108 0.3629  1 Mo 1.81, 2 Co 2.02
O10 0.3892 0.3892 0.6371  1 Mo 1.81, 2 Co 2.02
O11 0.8687 0.8687 0.3802  1 Mo 1.81, 2 Co 1.99
O12 0.5290 0.5290 0.8319  1 Mo 1.73
O13 0.0455 0.7116 0.6497  1 Mo 1.75
O14 0.1313 0.1313 0.6198  1 Mo 1.81, 2 Co 1.99
O15 0.0956 0.0956 0.1238  1 Mo 1.78, 1 Co 1.89
O16 0.4774 0.8153 0.5829  1 Mo 1.79
Co1 0.4237 0.0896 0.6333  5 O 1.97-2.12
Co2 0.9104 0.5763 0.3667  5 O 1.97-2.12
Co3 0.0000 0.0000 0.0000  2 O 1.89
Co4 0.5763 0.9104 0.3667  5 O 1.97-2.12
Co5 0.0896 0.4237 0.6333  5 O 1.97-2.12
Cl1 0.6684 0.0324 0.1231  2 Co 2.28-2.39
Cl2 0.3316 0.9676 0.8769  2 Co 2.28-2.39
Cl3 0.9676 0.3316 0.8769  2 Co 2.28-2.39
Cl4 0.0324 0.6684 0.1231  2 Co 2.28-2.39
Na1 0.6689 0.6689 0.9865  3 O 2.29-2.53
Na2 0.3311 0.3311 0.0135  3 O 2.29-2.53
Mo1 0.9494 0.9494 0.6941  4 O 1.75-1.81
Mo2 0.0506 0.0506 0.3059  4 O 1.75-1.81
Mo3 0.5522 0.5522 0.6587  4 O 1.73-1.81
Mo4 0.4478 0.4478 0.3413  4 O 1.73-1.81

Output
Formation energy from raw total energies: -1.47 eV per atom
Crystal system: monoclinic
Fermi-level density of states: 0.48 states/eV/atom

***

Material: CoMoP2Cl
Method: DFT, GGA-PBEsol
State: relaxed

Cell lengths 4.6094, 4.6094, 4.7648 Å; angles 90.00, 90.00, 90.00 degrees
Closest atoms and distances in Å follow each position.
Atoms (fractional coordinates):
P1 0.0000 0.5000 0.0000  2 Mo 2.30
P2 0.5000 0.0000 0.0000  2 Mo 2.30
Mo1 0.0000 0.0000 0.0000  4 P 2.30, 2 Cl 2.38
Cl1 0.0000 0.0000 0.5000  2 Mo 2.38
Co1 0.5000 0.5000 0.5000  4 Cl 3.26, 8 P 3.31

Output
Formation energy from raw total energies: 0.88 eV per atom
Crystal system: tetragonal
Fermi-level density of states: 0.87 states/eV/atom

***

Material: CoMoP2Cl
Method: DFT, GGA-PBEsol
State: relaxed

Cell lengths 4.2295, 4.2295, 4.5118 Å; angles 90.00, 90.00, 90.00 degrees
Closest atoms and distances in Å follow each position.
Atoms (fractional coordinates):
Mo1 0.5000 0.5000 0.5000  4 Cl 2.99, 8 P 3.09
P1 0.0000 0.5000 0.0000  2 Co 2.11
P2 0.5000 0.0000 0.0000  2 Co 2.11
Cl1 0.0000 0.0000 0.5000  2 Co 2.26
Co1 0.0000 0.0000 0.0000  4 P 2.11, 2 Cl 2.26

Output
Formation energy from raw total energies: 0.76 eV per atom
Crystal system: tetragonal
Fermi-level density of states: 0.63 states/eV/atom

***

Material: Co3NCl
Method: DFT, GGA-PBEsol
State: relaxed

Cell lengths 4.0293, 4.0293, 4.0293 Å; angles 90.00, 90.00, 90.00 degrees
Closest atoms and distances in Å follow each position.
Atoms (fractional coordinates):
Co1 0.0000 0.5000 0.0000  2 Cl 2.01
Co2 0.0000 0.0000 0.5000  2 Cl 2.01
Co3 0.5000 0.0000 0.0000  2 Cl 2.01
N1 0.5000 0.5000 0.5000  12 Co 2.85
Cl1 0.0000 0.0000 0.0000  6 Co 2.01

Output
Formation energy from raw total energies: 1.71 eV per atom
Crystal system: cubic
Fermi-level density of states: 1.65 states/eV/atom

***

Material: CoNCl2
Method: DFT, GGA-PBEsol
State: relaxed

Cell lengths 6.6376, 6.4359, 6.6376 Å; angles 121.04, 90.00, 121.04 degrees
Closest atoms and distances in Å follow each position.
Atoms (fractional coordinates):
Co1 0.0000 0.0000 0.0000  4 Cl 2.21
Co2 0.2500 0.5000 0.7500  4 Cl 2.21
Cl1 0.1250 0.7500 0.7301  2 Co 2.21
Cl2 0.2699 0.2500 0.3750  2 Co 2.21
Cl3 0.6250 0.7500 0.0199  2 Co 2.21
Cl4 0.9801 0.2500 0.8750  2 Co 2.21
N1 0.7500 0.5000 0.2500  4 Cl 3.09
N2 0.5000 0.0000 0.5000  4 Cl 3.09

Output
Formation energy from raw total energies: 1.00 eV per atom
Crystal system: tetragonal
Fermi-level density of states: 0.45 states/eV/atom

***

Material: CoSN2Cl
Method: DFT, GGA-PBEsol
State: relaxed

Cell lengths 3.3595, 3.3595, 6.3200 Å; angles 90.00, 90.00, 90.00 degrees
Closest atoms and distances in Å follow each position.
Atoms (fractional coordinates):
S1 0.0000 0.0000 0.5000  4 Co 2.38
Co1 0.5000 0.5000 0.5000  4 S 2.38
N1 0.0000 0.5000 0.0000  2 Cl 1.68
N2 0.5000 0.0000 0.0000  2 Cl 1.68
Cl1 0.0000 0.0000 0.0000  4 N 1.68

Output
Formation energy from raw total energies: 2.13 eV per atom
Crystal system: tetragonal
Fermi-level density of states: 1.34 states/eV/atom

***

Material: CoSeN2Cl
Method: DFT, GGA-PBEsol
State: relaxed

Cell lengths 3.5819, 3.5819, 5.2196 Å; angles 90.00, 90.00, 90.00 degrees
Closest atoms and distances in Å follow each position.
Atoms (fractional coordinates):
Co1 0.0000 0.0000 0.0000  4 N 1.79
N1 0.0000 0.5000 0.0000  2 Co 1.79
N2 0.5000 0.0000 0.0000  2 Co 1.79
Cl1 0.5000 0.5000 0.5000  4 Se 2.53
Se1 0.0000 0.0000 0.5000  4 Cl 2.53, 2 Co 2.61

Output
Formation energy from raw total energies: 0.97 eV per atom
Crystal system: tetragonal
Fermi-level density of states: 0.76 states/eV/atom

***

Material: Na2CoCl4
Method: DFT, GGA-PBEsol
State: relaxed

Cell lengths 6.2818, 8.0734, 13.6311 Å; angles 90.00, 90.00, 90.00 degrees
Closest atoms and distances in Å follow each position.
Atoms (fractional coordinates):
Cl1 0.2415 0.7500 0.9080  1 Co 2.21
Cl2 0.2300 0.2500 0.4399  1 Co 2.24
Cl3 0.7415 0.2500 0.5920  1 Co 2.21
Cl4 0.7300 0.7500 0.0601  1 Co 2.24
Cl5 0.7618 0.5307 0.3338  1 Co 2.23
Cl6 0.7618 0.9693 0.3338  1 Co 2.23
Cl7 0.2618 0.0307 0.1662  1 Co 2.23
Cl8 0.2585 0.7500 0.4080  1 Co 2.21
Cl9 0.2618 0.4693 0.1662  1 Co 2.23
Cl10 0.2382 0.0307 0.6662  1 Co 2.23
Cl11 0.7585 0.2500 0.0920  1 Co 2.21
Cl12 0.2700 0.2500 0.9399  1 Co 2.24
Cl13 0.7382 0.9693 0.8338  1 Co 2.23
Cl14 0.2382 0.4693 0.6662  1 Co 2.23
Cl15 0.7382 0.5307 0.8338  1 Co 2.23
Cl16 0.7700 0.7500 0.5601  1 Co 2.24
Co1 0.9063 0.7500 0.4083  4 Cl 2.21-2.24
Co2 0.0937 0.2500 0.5917  4 Cl 2.21-2.24
Co3 0.4063 0.2500 0.0917  4 Cl 2.21-2.24
Co4 0.5937 0.7500 0.9083  4 Cl 2.21-2.24
Na1 0.9882 0.2500 0.2708  6 Cl 2.76-2.85
Na2 0.5118 0.2500 0.7708  6 Cl 2.76-2.85
Na3 0.4882 0.7500 0.2292  6 Cl 2.76-2.85
Na4 0.0000 0.0000 0.0000  6 Cl 2.76-2.82
Na5 0.0118 0.7500 0.7292  6 Cl 2.76-2.85
Na6 0.0000 0.5000 0.0000  6 Cl 2.76-2.82
Na7 0.5000 0.5000 0.5000  6 Cl 2.76-2.82
Na8 0.5000 0.0000 0.5000  6 Cl 2.76-2.82

Output
Formation energy from raw total energies: -1.23 eV per atom
Crystal system: orthorhombic

***

Material: NaCoP2Cl
Method: DFT, GGA-PBEsol
State: relaxed

Cell lengths 4.7658, 4.8063, 4.8063 Å; angles 90.00, 90.00, 90.00 degrees
Closest atoms and distances in Å follow each position.
Atoms (fractional coordinates):
P1 0.0000 0.5000 0.0000  2 Na 2.40
P2 0.0000 0.0000 0.5000  2 Na 2.40
Co1 0.5000 0.5000 0.5000  8 P 3.38, 4 Cl 3.40
Na1 0.0000 0.0000 0.0000  2 Cl 2.38, 4 P 2.40
Cl1 0.5000 0.0000 0.0000  2 Na 2.38

Output
Formation energy from raw total energies: 1.53 eV per atom
Crystal system: tetragonal
Fermi-level density of states: 1.30 states/eV/atom

***

Material: NbCoCl2
Method: DFT, GGA-PBEsol
State: relaxed

Cell lengths 3.0681, 3.0681, 8.0387 Å; angles 79.00, 79.00, 60.00 degrees
Closest atoms and distances in Å follow each position.
Atoms (fractional coordinates):
Cl1 0.9097 0.9097 0.2708  1 Co 2.12
Cl2 0.0903 0.0903 0.7292  1 Co 2.12
Nb1 0.5000 0.5000 0.5000  6 Cl 2.52
Co1 0.0000 0.0000 0.0000  2 Cl 2.12

Output
Formation energy from raw total energies: -0.15 eV per atom
Crystal system: trigonal
Fermi-level density of states: 0.81 states/eV/atom